A relaxed LiZnMoO2 crystal, computed with PBE+U.

Unit cell a=3.8227 b=3.8227 c=3.8899 alpha=90.00 beta=90.00 gamma=90.00
Last column: nearest neighbours and their distance in Å.
Element x y z (fractional)
Li  0.0000  0.0000  0.0000  4 O 1.91, 2 Zn 1.94
Zn  0.0000  0.0000  0.5000  2 Li 1.94
Mo  0.5000  0.5000  0.5000  4 Zn 2.70, 8 O 2.73
O  0.0000  0.5000  0.0000  2 Li 1.91
O  0.5000  0.0000  0.0000  2 Li 1.91

- Symmetry: P4/mmm
- Energy: -19.440 eV for the cell shown